DFT (PBE) results for crystalline TlTeP3 at its relaxed geometry.

a = 5.1571 Å, b = 5.1571 Å, c = 5.1571 Å
α = 90.00°, β = 90.00°, γ = 90.00°
Last column: nearest neighbours and their distance in Å.
Element x y z (fractional)
Tl1 0.0000 0.0000 0.0000  12 P 3.65
Te1 0.5000 0.5000 0.5000  6 P 2.58
P1 0.0000 0.5000 0.5000  2 Te 2.58
P2 0.5000 0.0000 0.5000  2 Te 2.58
P3 0.5000 0.5000 0.0000  2 Te 2.58

Properties
Polymorph energy (0 for the lowest one), meV/atom: 0.0
Calculated density, g/cm3: 5.14
ΔE_f (raw), eV per atom: 1.03
Spin magnetization, μB per formula unit: 0.00
E, eV/atom: -3.32



DFT (PBE) results for crystalline Tl2TeP at its relaxed geometry.

a = 8.0980 Å, b = 8.0980 Å, c = 8.0980 Å
α = 131.56°, β = 131.56°, γ = 70.93°
Last column: nearest neighbours and their distance in Å.
Element x y z (fractional)
Tl1 0.0793 0.6250 0.9543  2 P 2.71
Tl2 0.3750 0.3293 0.4543  2 P 2.71
Tl3 0.6707 0.1250 0.0457  2 P 2.71
Tl4 0.8750 0.9207 0.5457  2 P 2.71
Te1 0.2500 0.7500 0.5000  4 Tl 3.06
Te2 0.5000 0.5000 0.0000  4 Tl 3.06
P1 0.0000 0.0000 0.0000  4 Tl 2.71
P2 0.7500 0.2500 0.5000  4 Tl 2.71

Properties
Polymorph energy (0 for the lowest one), meV/atom: 0.0
Calculated density, g/cm3: 6.47
ΔE_f (raw), eV per atom: 0.11
Spin magnetization, μB per formula unit: 0.00
E, eV/atom: -3.21



DFT (PBE) results for crystalline Tl4Te3P at its relaxed geometry.

a = 8.8085 Å, b = 8.8085 Å, c = 8.8085 Å
α = 119.59°, β = 119.59°, γ = 90.71°
Last column: nearest neighbours and their distance in Å.
Element x y z (fractional)
Tl1 0.0140 0.5140 0.2102  3 Te 3.08-3.39, 2 Tl 3.42
Tl2 0.1962 0.9860 0.5000  3 Te 3.08-3.39, 2 Tl 3.42
Tl3 0.3038 0.8038 0.7898  3 Te 3.08-3.39, 2 Tl 3.42
Tl4 0.4860 0.6962 0.5000  3 Te 3.08-3.39, 2 Tl 3.42
Tl5 0.5140 0.3038 0.5000  3 Te 3.08-3.39, 2 Tl 3.42
Tl6 0.6962 0.1962 0.2102  3 Te 3.08-3.39, 2 Tl 3.42
Tl7 0.8038 0.0140 0.5000  3 Te 3.08-3.39, 2 Tl 3.42
Tl8 0.9860 0.4860 0.7898  3 Te 3.08-3.39, 2 Tl 3.42
Te1 0.1660 0.3340 0.5000  6 Tl 3.08-3.39, 2 P 3.31
Te2 0.2500 0.2500 0.0000  2 P 3.09
Te3 0.3340 0.8340 0.1681  6 Tl 3.08-3.39, 2 P 3.31
Te4 0.6660 0.1660 0.8319  6 Tl 3.08-3.39, 2 P 3.31
Te5 0.7500 0.7500 0.0000  2 P 3.09
Te6 0.8340 0.6660 0.5000  6 Tl 3.08-3.39, 2 P 3.31
P1 0.0000 0.0000 0.0000  6 Te 3.09-3.31
P2 0.5000 0.5000 0.0000  6 Te 3.09-3.31

Properties
Calculated density, g/cm3: 8.41
ΔE_f (raw), eV per atom: 0.00
Spin magnetization, μB per formula unit: 0.00
E, eV/atom: -3.03



DFT (PBE) results for crystalline Tl3TeP at its relaxed geometry.

a = 6.2475 Å, b = 6.2475 Å, c = 6.2475 Å
α = 90.00°, β = 90.00°, γ = 90.00°
Last column: nearest neighbours and their distance in Å.
Element x y z (fractional)
Tl1 0.0000 0.0000 0.5000  2 Te 3.12
Tl2 0.0000 0.5000 0.0000  2 Te 3.12
Tl3 0.5000 0.0000 0.0000  2 Te 3.12
Te1 0.0000 0.0000 0.0000  6 Tl 3.12
P1 0.5000 0.5000 0.5000  12 Tl 4.42

Properties
Polymorph energy (0 for the lowest one), meV/atom: 596.5
Calculated density, g/cm3: 5.26
ΔE_f (raw), eV per atom: 0.71
Spin magnetization, μB per formula unit: 1.78
E, eV/atom: -2.42



DFT (PBE) results for crystalline TlTe3P at its relaxed geometry.

a = 5.7954 Å, b = 5.7954 Å, c = 5.7954 Å
α = 90.00°, β = 90.00°, γ = 90.00°
Last column: nearest neighbours and their distance in Å.
Element x y z (fractional)
Tl1 0.0000 0.0000 0.0000  6 Te 2.90
Te1 0.0000 0.0000 0.5000  2 Tl 2.90
Te2 0.0000 0.5000 0.0000  2 Tl 2.90
Te3 0.5000 0.0000 0.0000  2 Tl 2.90
P1 0.5000 0.5000 0.5000  12 Te 4.10

Properties
Polymorph energy (0 for the lowest one), meV/atom: 960.0
Calculated density, g/cm3: 5.27
ΔE_f (raw), eV per atom: 1.16
Spin magnetization, μB per formula unit: 1.16
E, eV/atom: -2.28



DFT (PBE) results for crystalline TlTe2P at its relaxed geometry.

a = 6.1401 Å, b = 6.1401 Å, c = 3.0230 Å
α = 90.48°, β = 90.48°, γ = 89.97°
Last column: nearest neighbours and their distance in Å.
Element x y z (fractional)
Tl1 0.0000 0.0000 0.0000  2 Tl 3.02, 4 Te 3.07
Te1 0.0000 0.5000 0.0000  2 Te 3.02, 2 Tl 3.07, 2 P 3.07
Te2 0.5000 0.0000 0.0000  2 Te 3.02, 2 Tl 3.07, 2 P 3.07
P1 0.5000 0.5000 0.0000  2 P 3.02, 4 Te 3.07

Properties
Calculated density, g/cm3: 7.15
ΔE_f (raw), eV per atom: 0.30
Spin magnetization, μB per formula unit: 0.00
E, eV/atom: -3.22



DFT (PBE) results for crystalline TlTe2P at its relaxed geometry.

a = 7.0871 Å, b = 7.0871 Å, c = 7.0871 Å
α = 111.30°, β = 111.30°, γ = 105.86°
Last column: nearest neighbours and their distance in Å.
Element x y z (fractional)
Tl1 0.0000 0.0000 0.0000  4 Te 3.43
Tl2 0.7500 0.2500 0.5000  4 Te 3.43
Te1 0.1963 0.6250 0.0713  2 P 2.68
Te2 0.3750 0.4463 0.5713  2 P 2.68
Te3 0.5537 0.1250 0.9287  2 P 2.68
Te4 0.8750 0.8037 0.4287  2 P 2.68
P1 0.2500 0.7500 0.5000  4 Te 2.68
P2 0.5000 0.5000 0.0000  4 Te 2.68

Properties
Calculated density, g/cm3: 5.96
ΔE_f (raw), eV per atom: 0.13
Spin magnetization, μB per formula unit: 0.00
E, eV/atom: -3.38



DFT (PBE) results for crystalline TlTeP4 at its relaxed geometry.

a = 6.1981 Å, b = 6.1981 Å, c = 6.1981 Å
α = 60.00°, β = 60.00°, γ = 60.00°
Last column: nearest neighbours and their distance in Å.
Element x y z (fractional)
Tl1 0.0000 0.0000 0.0000  12 P 3.77, 4 Te 3.80
Te1 0.2500 0.2500 0.2500  12 P 3.58, 4 Tl 3.80
P1 0.2322 0.5893 0.5893  3 P 2.21
P2 0.5893 0.2322 0.5893  3 P 2.21
P3 0.5893 0.5893 0.2322  3 P 2.21
P4 0.5893 0.5893 0.5893  3 P 2.21

Properties
Calculated density, g/cm3: 4.50
ΔE_f (raw), eV per atom: 0.24
Spin magnetization, μB per formula unit: 0.95
E, eV/atom: -4.28



Please write out number 5 again, unchanged.
DFT (PBE) results for crystalline TlTe3P at its relaxed geometry.

a = 5.7954 Å, b = 5.7954 Å, c = 5.7954 Å
α = 90.00°, β = 90.00°, γ = 90.00°
Last column: nearest neighbours and their distance in Å.
Element x y z (fractional)
Tl1 0.0000 0.0000 0.0000  6 Te 2.90
Te1 0.0000 0.0000 0.5000  2 Tl 2.90
Te2 0.0000 0.5000 0.0000  2 Tl 2.90
Te3 0.5000 0.0000 0.0000  2 Tl 2.90
P1 0.5000 0.5000 0.5000  12 Te 4.10

Properties
Polymorph energy (0 for the lowest one), meV/atom: 960.0
Calculated density, g/cm3: 5.27
ΔE_f (raw), eV per atom: 1.16
Spin magnetization, μB per formula unit: 1.16
E, eV/atom: -2.28